## VHgIrO6 (PBE with a Hubbard U)

Data for a relaxed VHgIrO6 crystal.

Total moment = 0.00 μB per formula unit
N(E_F) = 11.01 states/eV/cell
Raw total energy = -6.017 eV/atom
Volume = 14.23 A^3/atom
SG = Imma (74)

Cell lengths 7.151, 7.151, 7.151 Å; angles 121.08, 120.10, 88.98 degrees
Positions (direct):
V 0.500 0.000 0.000
V 0.500 0.500 0.500
Hg 0.068 0.318 0.750
Hg 0.932 0.682 0.250
Ir 0.000 0.000 0.000
Ir 0.500 0.000 0.500
O 0.176 0.926 0.250
O 0.185 0.319 0.249
O 0.185 0.935 0.866
O 0.431 0.065 0.749
O 0.431 0.681 0.366
O 0.450 0.700 0.750
O 0.550 0.300 0.250
O 0.569 0.319 0.634
O 0.569 0.935 0.251
O 0.815 0.065 0.134
O 0.815 0.681 0.751
O 0.824 0.074 0.750

## V2HgIrO8 (PBE with a Hubbard U)

Data for a relaxed V2HgIrO8 crystal.

Total moment = 0.94 μB per formula unit
N(E_F) = 6.79 states/eV/cell
Raw total energy = -6.587 eV/atom
Volume = 15.71 A^3/atom
SG = C2/m (12)

Cell lengths 5.260, 5.260, 7.565 Å; angles 96.20, 96.20, 65.24 degrees
Positions (direct):
V 0.167 0.167 0.208
V 0.833 0.833 0.792
Hg 0.500 0.500 0.500
Ir 0.500 0.500 0.000
O 0.207 0.694 0.813
O 0.269 0.269 0.420
O 0.286 0.286 0.048
O 0.306 0.793 0.187
O 0.694 0.207 0.813
O 0.714 0.714 0.952
O 0.731 0.731 0.580
O 0.793 0.306 0.187

Q: The highest raw total energy belongs to which entry?
A: VHgIrO6

Q: What is the N(E_F) in the second record?
A: 6.79 states/eV/cell

Q: Which formula does entry 1 have?
A: VHgIrO6